SmGe2Pt4 | PBE | optimized geometry

Symmetry = R-3m, No. 166
Excess energy over the best structure of this formula in the dataset = 0.0 meV/atom
Formation energy from the elements = -69.8 kJ/mol of atoms

The structure in CIF format:
```
data_SmGe2Pt4
_chemical_formula_sum 'Sm1 Ge2 Pt4'
_space_group_name_H-M_alt 'P 1'
_space_group_IT_number 1
_space_group_name_Hall 'P 1'
_cell_length_a 4.2819
_cell_length_b 4.2819
_cell_length_c 8.5358
_cell_angle_alpha 75.47
_cell_angle_beta 75.47
_cell_angle_gamma 60.00
loop_
_atom_site_label
_atom_site_fract_x
_atom_site_fract_y
_atom_site_fract_z
Sm1 0.0000 0.0000 0.0000
Pt1 0.5887 0.5887 0.2340
Pt2 0.1373 0.1373 0.5880
Pt3 0.8627 0.8627 0.4120
Pt4 0.4113 0.4113 0.7660
Ge1 0.2410 0.2410 0.2770
Ge2 0.7590 0.7590 0.7230
```